Computed, not measured: a relaxed Hf4Ni3Mo2C3 crystal at the PBE-GGA level of DFT.

abc: 5.507 5.507 13.118
angles: 102.22 102.22 59.98
Sites, in units of the cell vectors:
Hf (0.040, 0.198, 0.110)
Hf (0.123, 0.300, 0.391)
Hf (0.198, 0.040, 0.610)
Hf (0.300, 0.123, 0.891)
Hf (0.700, 0.877, 0.109)
Hf (0.802, 0.960, 0.390)
Hf (0.877, 0.700, 0.609)
Hf (0.960, 0.802, 0.890)
Ni (0.146, 0.854, 0.250)
Ni (0.320, 0.412, 0.751)
Ni (0.412, 0.320, 0.251)
Ni (0.588, 0.680, 0.749)
Ni (0.680, 0.588, 0.249)
Ni (0.854, 0.146, 0.750)
Mo (0.355, 0.527, 0.080)
Mo (0.473, 0.645, 0.420)
Mo (0.527, 0.355, 0.580)
Mo (0.645, 0.473, 0.920)
C (0.000, 0.500, 0.000)
C (0.164, 0.668, 0.500)
C (0.332, 0.836, 0.000)
C (0.500, 0.000, 0.500)
C (0.668, 0.164, 0.000)
C (0.836, 0.332, 0.500)

=====

Computed, not measured: a relaxed Hf2Mo4P3C3 crystal at the PBE-GGA level of DFT.

abc: 5.673 5.673 12.018
angles: 103.54 103.54 60.28
Sites, in units of the cell vectors:
Hf (0.035, 0.868, 0.607)
Hf (0.132, 0.965, 0.893)
Hf (0.868, 0.035, 0.107)
Hf (0.965, 0.132, 0.393)
Mo (0.199, 0.370, 0.092)
Mo (0.307, 0.462, 0.408)
Mo (0.370, 0.199, 0.592)
Mo (0.462, 0.307, 0.908)
Mo (0.538, 0.693, 0.092)
Mo (0.630, 0.801, 0.408)
Mo (0.693, 0.538, 0.592)
Mo (0.801, 0.630, 0.908)
P (0.082, 0.276, 0.750)
P (0.276, 0.082, 0.250)
P (0.441, 0.559, 0.750)
P (0.559, 0.441, 0.250)
P (0.724, 0.918, 0.750)
P (0.918, 0.724, 0.250)
C (0.000, 0.500, 0.500)
C (0.165, 0.672, 0.000)
C (0.328, 0.835, 0.500)
C (0.500, 0.000, 0.000)
C (0.672, 0.165, 0.500)
C (0.835, 0.328, 0.000)

=====

Computed, not measured: a relaxed Hf4Mo2Pb3C3 crystal at the PBE-GGA level of DFT.

abc: 5.826 5.826 14.593
angles: 101.45 101.45 60.00
Sites, in units of the cell vectors:
Hf (0.025, 0.195, 0.082)
Hf (0.141, 0.305, 0.418)
Hf (0.195, 0.025, 0.582)
Hf (0.305, 0.141, 0.918)
Hf (0.695, 0.859, 0.082)
Hf (0.805, 0.975, 0.418)
Hf (0.859, 0.695, 0.582)
Hf (0.975, 0.805, 0.918)
Mo (0.356, 0.523, 0.069)
Mo (0.477, 0.644, 0.431)
Mo (0.523, 0.356, 0.569)
Mo (0.644, 0.477, 0.931)
Pb (0.096, 0.904, 0.250)
Pb (0.263, 0.415, 0.749)
Pb (0.415, 0.263, 0.249)
Pb (0.585, 0.737, 0.751)
Pb (0.737, 0.585, 0.251)
Pb (0.904, 0.096, 0.750)
C (0.000, 0.500, 0.000)
C (0.163, 0.668, 0.500)
C (0.332, 0.837, 0.000)
C (0.500, 0.000, 0.500)
C (0.668, 0.163, 0.000)
C (0.837, 0.332, 0.500)

=====

Computed, not measured: a relaxed Hf4Mo2C3S3 crystal at the PBE-GGA level of DFT.

abc: 5.780 5.780 12.267
angles: 103.57 103.57 60.01
Sites, in units of the cell vectors:
Hf (0.032, 0.202, 0.102)
Hf (0.135, 0.299, 0.398)
Hf (0.202, 0.032, 0.602)
Hf (0.299, 0.135, 0.898)
Hf (0.701, 0.865, 0.102)
Hf (0.798, 0.968, 0.398)
Hf (0.865, 0.701, 0.602)
Hf (0.968, 0.798, 0.898)
Mo (0.363, 0.528, 0.085)
Mo (0.472, 0.637, 0.415)
Mo (0.528, 0.363, 0.585)
Mo (0.637, 0.472, 0.915)
C (0.000, 0.500, 0.000)
C (0.162, 0.669, 0.500)
C (0.331, 0.838, 0.000)
C (0.500, 0.000, 0.500)
C (0.669, 0.162, 0.000)
C (0.838, 0.331, 0.500)
S (0.100, 0.900, 0.250)
S (0.266, 0.417, 0.751)
S (0.417, 0.266, 0.251)
S (0.583, 0.734, 0.749)
S (0.734, 0.583, 0.249)
S (0.900, 0.100, 0.750)

=====

Computed, not measured: a relaxed Hf4Sb3Mo2C3 crystal at the PBE-GGA level of DFT.

abc: 5.889 5.889 13.652
angles: 102.32 102.32 60.16
Sites, in units of the cell vectors:
Hf (0.028, 0.197, 0.089)
Hf (0.138, 0.304, 0.411)
Hf (0.197, 0.028, 0.589)
Hf (0.304, 0.138, 0.911)
Hf (0.696, 0.862, 0.089)
Hf (0.803, 0.972, 0.411)
Hf (0.862, 0.696, 0.589)
Hf (0.972, 0.803, 0.911)
Sb (0.105, 0.895, 0.250)
Sb (0.268, 0.417, 0.749)
Sb (0.417, 0.268, 0.249)
Sb (0.583, 0.732, 0.751)
Sb (0.732, 0.583, 0.251)
Sb (0.895, 0.105, 0.750)
Mo (0.355, 0.526, 0.076)
Mo (0.474, 0.645, 0.424)
Mo (0.526, 0.355, 0.576)
Mo (0.645, 0.474, 0.924)
C (0.000, 0.500, 0.000)
C (0.163, 0.668, 0.500)
C (0.332, 0.837, 0.000)
C (0.500, 0.000, 0.500)
C (0.668, 0.163, 0.000)
C (0.837, 0.332, 0.500)

=====

Computed, not measured: a relaxed Hf4Si3Mo2C3 crystal at the PBE-GGA level of DFT.

abc: 5.550 5.550 13.363
angles: 102.07 102.07 60.21
Sites, in units of the cell vectors:
Hf (0.035, 0.199, 0.101)
Hf (0.132, 0.300, 0.399)
Hf (0.199, 0.035, 0.601)
Hf (0.300, 0.132, 0.899)
Hf (0.700, 0.868, 0.101)
Hf (0.801, 0.965, 0.399)
Hf (0.868, 0.700, 0.601)
Hf (0.965, 0.801, 0.899)
Si (0.144, 0.856, 0.250)
Si (0.310, 0.417, 0.750)
Si (0.417, 0.310, 0.250)
Si (0.583, 0.690, 0.750)
Si (0.690, 0.583, 0.250)
Si (0.856, 0.144, 0.750)
Mo (0.359, 0.529, 0.086)
Mo (0.471, 0.641, 0.414)
Mo (0.529, 0.359, 0.586)
Mo (0.641, 0.471, 0.914)
C (0.000, 0.500, 0.000)
C (0.163, 0.669, 0.500)
C (0.331, 0.837, 0.000)
C (0.500, 0.000, 0.500)
C (0.669, 0.163, 0.000)
C (0.837, 0.331, 0.500)

=====

Computed, not measured: a relaxed Hf2Tl3Mo4C3 crystal at the PBE-GGA level of DFT.

abc: 5.596 5.596 14.590
angles: 101.16 101.16 60.11
Sites, in units of the cell vectors:
Hf (0.029, 0.863, 0.588)
Hf (0.137, 0.971, 0.912)
Hf (0.863, 0.029, 0.088)
Hf (0.971, 0.137, 0.412)
Tl (0.086, 0.270, 0.749)
Tl (0.270, 0.086, 0.249)
Tl (0.441, 0.559, 0.750)
Tl (0.559, 0.441, 0.250)
Tl (0.730, 0.914, 0.751)
Tl (0.914, 0.730, 0.251)
Mo (0.193, 0.359, 0.074)
Mo (0.309, 0.474, 0.426)
Mo (0.359, 0.193, 0.574)
Mo (0.474, 0.309, 0.926)
Mo (0.526, 0.691, 0.074)
Mo (0.641, 0.807, 0.426)
Mo (0.691, 0.526, 0.574)
Mo (0.807, 0.641, 0.926)
C (0.000, 0.500, 0.500)
C (0.167, 0.667, 0.000)
C (0.333, 0.833, 0.500)
C (0.500, 0.000, 0.000)
C (0.667, 0.167, 0.500)
C (0.833, 0.333, 0.000)

=====

Computed, not measured: a relaxed Hf4Tl3Mo2C3 crystal at the PBE-GGA level of DFT.

abc: 5.639 5.639 14.995
angles: 100.77 100.77 60.17
Sites, in units of the cell vectors:
Hf (0.031, 0.192, 0.085)
Hf (0.135, 0.306, 0.415)
Hf (0.192, 0.031, 0.585)
Hf (0.306, 0.135, 0.915)
Hf (0.694, 0.865, 0.085)
Hf (0.808, 0.969, 0.415)
Hf (0.865, 0.694, 0.585)
Hf (0.969, 0.808, 0.915)
Tl (0.098, 0.902, 0.250)
Tl (0.266, 0.415, 0.751)
Tl (0.415, 0.266, 0.251)
Tl (0.585, 0.734, 0.749)
Tl (0.734, 0.585, 0.249)
Tl (0.902, 0.098, 0.750)
Mo (0.351, 0.524, 0.074)
Mo (0.476, 0.649, 0.426)
Mo (0.524, 0.351, 0.574)
Mo (0.649, 0.476, 0.926)
C (0.000, 0.500, 0.000)
C (0.169, 0.666, 0.500)
C (0.334, 0.831, 0.000)
C (0.500, 0.000, 0.500)
C (0.666, 0.169, 0.000)
C (0.831, 0.334, 0.500)

=====

Asked for total energy across the records above, the calculation gives -9.244; -9.469; -8.698; -9.411; -8.947; -9.412; -8.297; -8.405 eV per atom in order.